Tl2SnHgRh: relaxed, GGA-PBE.

Cell lengths 5.320, 5.320, 5.121 Å; angles 90.00, 90.00, 90.00 degrees
Fractional coordinates of all 5 atoms:
Tl 0.000 0.500 0.000
Tl 0.500 0.000 0.000
Rh 0.000 0.000 0.000
Hg 0.500 0.500 0.500
Sn 0.000 0.000 0.500

- Electronic total energy: -0.121 Ha/atom
- Magnetization: 0.000 μB/atom